# NiPOF2, optimized geometry, DFT PBE+U
# Uncorrected energy = -3.8889 eV/atom
# ΔE to the lowest computed polymorph = 60 meV/atom
data_NiPOF2
_cell_length_a 4.291
_cell_length_b 4.291
_cell_length_c 3.508
_cell_angle_alpha 90.00
_cell_angle_beta 90.00
_cell_angle_gamma 90.00
_symmetry_space_group_name_H-M 'P 4/m m m'
_symmetry_Int_Tables_number 123
_symmetry_space_group_name_Hall '-P 4 2'
loop_
_atom_site_label
_atom_site_fract_x
_atom_site_fract_y
_atom_site_fract_z
_atom_site_occupancy
Ni1 0.000 0.000 0.000 1
P1 0.500 0.500 0.500 1
O1 0.500 0.500 0.000 1
F1 0.000 0.500 0.500 1